First-principles (PBE) data for an optimized crystal structure of PmErTl4, as listed in Alexandria.

- E: -0.2306 Ry per atom
- Total moment: 0.00 μB per cell
- ρ: 9.6 Mg/m³
- V: 195.5 Å³/cell
- Energy relative to the elements: -8 meV per atom

a = 5.112 Å, b = 5.115 Å, c = 7.477 Å
α = 89.97°, β = 89.98°, γ = 90.01°
Positions (direct):
1 Pm 0.501 0.497 0.998
2 Er 0.001 0.997 0.498
3 Tl 0.501 0.997 0.260
4 Tl 0.501 0.997 0.736
5 Tl 0.001 0.497 0.736
6 Tl 0.001 0.498 0.260